# 1
DFT (PBE-GGA) results for EuTmAgIr after structural relaxation.

It has space group F-43m (No. 216), with a = 7.0752 Å, b = 7.0752 Å, c = 7.0752 Å, α = 90.00°, β = 90.00° and γ = 90.00°. Symmetry generates all atoms from Eu at (0.0000, 0.0000, 0.0000), Tm at (0.0000, 0.0000, 0.5000), Ag at (0.2500, 0.2500, 0.2500) and Ir at (0.2500, 0.2500, 0.7500).

The crystal system is cubic. The total energy comes out at -112.83 eV/cell. For the magnetic moment, the calculation gives 27.75 μB/cell. Its formation enthalpy at 0 K is -1.75 eV per formula unit. The density of states at the Fermi level comes out at 20.75 states/eV/cell.

---

# 2
DFT (PBE-GGA) results for PaTiSn2 after structural relaxation.

It has space group Fm-3m (No. 225), with a = 7.2060 Å, b = 7.2060 Å, c = 7.2060 Å, α = 90.00°, β = 90.00° and γ = 90.00°. Symmetry generates all atoms from Pa at (0.0000, 0.0000, 0.0000), Ti at (0.0000, 0.0000, 0.5000) and Sn at (0.2500, 0.2500, 0.2500).

The crystal system is cubic. The total energy comes out at -103.44 eV/cell. For the magnetic moment, the calculation gives 7.88 μB/cell. Its formation enthalpy at 0 K is -0.46 eV per formula unit. As for the relative energy among the computed polymorphs: 0.040 eV/atom. The density of states at the Fermi level comes out at 14.76 states/eV/cell.

---

# 3
DFT (PBE-GGA) results for KZnAg2 after structural relaxation.

It has space group R-3m (No. 166, hexagonal axes), with a = 4.6853 Å, b = 4.6853 Å, c = 17.7641 Å, α = 90.00°, β = 90.00° and γ = 120.00°. Symmetry generates all atoms from K at (0.0000, 0.0000, 0.0000), Zn at (0.0000, 0.0000, 0.5000) and Ag at (0.0000, 0.0000, 0.1858).

The crystal system is trigonal. The total energy comes out at -24.30 eV/cell. For the magnetic moment, the calculation gives 0.00 μB/cell. Its formation enthalpy at 0 K is -0.03 eV per formula unit. The density of states at the Fermi level comes out at 7.58 states/eV/cell.

---

# 4
DFT (PBE-GGA) results for Ba2NaLa after structural relaxation.

It has space group I-42d (No. 122), with a = 9.8892 Å, b = 9.8892 Å, c = 7.6841 Å, α = 90.00°, β = 90.00° and γ = 90.00°. Symmetry generates all atoms from Ba at (0.2331, 0.2500, 0.1250), Na at (0.0000, 0.0000, 0.0000) and La at (0.0000, 0.0000, 0.5000).

The crystal system is tetragonal. The total energy comes out at -34.83 eV/cell. For the magnetic moment, the calculation gives 0.00 μB/cell. Its formation enthalpy at 0 K is 1.38 eV per formula unit. As for the relative energy among the computed polymorphs: 0.224 eV/atom. The density of states at the Fermi level comes out at 14.20 states/eV/cell.

---

# 5
DFT (PBE-GGA) results for PrP2Ir5 after structural relaxation.

It has space group Immm (No. 71), with a = 3.9906 Å, b = 6.8840 Å, c = 9.3925 Å, α = 90.00°, β = 90.00° and γ = 90.00°. Symmetry generates all atoms from Pr at (0.0000, 0.0000, 0.0000), P at (0.0000, 0.5000, 0.2463), Ir at (0.0000, 0.2028, 0.3516) and Ir at (0.0000, 0.5000, 0.0000).

The crystal system is orthorhombic. The total energy comes out at -130.02 eV/cell. For the magnetic moment, the calculation gives 0.00 μB/cell. Its formation enthalpy at 0 K is -5.11 eV per formula unit. The density of states at the Fermi level comes out at 7.96 states/eV/cell.

---

# 6
DFT (PBE-GGA) results for Na2AcUS6 after structural relaxation.

It has space group P2_1/c (No. 14), with a = 7.0735 Å, b = 7.5519 Å, c = 12.1392 Å, α = 90.00°, β = 125.20° and γ = 90.00°. Symmetry generates all atoms from Na at (0.2209, 0.0801, 0.2500), Ac at (0.5000, 0.0000, 0.0000), U at (0.0000, 0.0000, 0.5000), S at (0.0816, 0.2187, 0.9136), S at (0.2064, 0.6839, 0.9226) and S at (0.3789, 0.0612, 0.7262).

The crystal system is monoclinic. The total energy comes out at -110.24 eV/cell. For the magnetic moment, the calculation gives 0.01 μB/cell. The density of states at the Fermi level comes out at 18.39 states/eV/cell. The calculation puts the formation energy without anion corrections at -12.32 eV/f.u.

---

# 7
DFT (PBE-GGA) results for Co2AgPt after structural relaxation.

It has space group Pm (No. 6), with a = 2.7132 Å, b = 4.0921 Å, c = 5.2191 Å, α = 90.00°, β = 104.96° and γ = 90.00°. Symmetry generates all atoms from Co at (0.0000, 0.0000, 0.0000), Co at (0.1179, 0.5000, 0.2338), Ag at (0.3819, 0.5000, 0.7626) and Pt at (0.7261, 0.0000, 0.4530).

The crystal system is monoclinic. The total energy comes out at -22.42 eV/cell. For the magnetic moment, the calculation gives 3.84 μB/cell. Its formation enthalpy at 0 K is 0.69 eV per formula unit. The density of states at the Fermi level comes out at 4.65 states/eV/cell.

---

# 8
DFT (PBE-GGA) results for In2Se after structural relaxation.

It has space group Fd-3m (No. 227, origin choice 2), with a = 8.7145 Å, b = 8.7145 Å, c = 8.7145 Å, α = 90.00°, β = 90.00° and γ = 90.00°. Symmetry generates all atoms from In at (0.0000, 0.0000, 0.0000) and Se at (0.1250, 0.1250, 0.6250).

The crystal system is cubic. The total energy comes out at -68.06 eV/cell. For the magnetic moment, the calculation gives 0.00 μB/cell. As for the relative energy among the computed polymorphs: 0.455 eV/atom. The density of states at the Fermi level comes out at 25.76 states/eV/cell. The calculation puts the formation energy without anion corrections at 0.45 eV/f.u.

---

# 9
DFT (PBE-GGA) results for Tb2PmNd6Ho after structural relaxation.

It has space group C2/c (No. 15), with a = 9.2933 Å, b = 15.3582 Å, c = 9.7282 Å, α = 90.00°, β = 97.53° and γ = 90.00°. Symmetry generates all atoms from Tb at (0.2499, 0.0492, 0.0460), Pm at (0.0000, 0.0259, 0.7500), Nd at (0.0627, 0.1798, 0.4454), Nd at (0.0984, 0.3918, 0.6185), Nd at (0.2123, 0.2227, 0.8129) and Ho at (0.0000, 0.4104, 0.2500).

The crystal system is monoclinic. The total energy comes out at -184.22 eV/cell. For the magnetic moment, the calculation gives 0.00 μB/cell. Its formation enthalpy at 0 K is 1.14 eV per formula unit. The density of states at the Fermi level comes out at 57.23 states/eV/cell.

---

# 10
DFT (PBE-GGA) results for NaAcYCd after structural relaxation.

It has space group F-43m (No. 216), with a = 8.0045 Å, b = 8.0045 Å, c = 8.0045 Å, α = 90.00°, β = 90.00° and γ = 90.00°. Symmetry generates all atoms from Na at (0.0000, 0.0000, 0.0000), Ac at (0.2500, 0.2500, 0.2500), Y at (0.2500, 0.2500, 0.7500) and Cd at (0.0000, 0.0000, 0.5000).

The crystal system is cubic. The total energy comes out at -50.89 eV/cell. For the magnetic moment, the calculation gives 0.91 μB/cell. Its formation enthalpy at 0 K is 0.09 eV per formula unit. The density of states at the Fermi level comes out at 25.58 states/eV/cell.

---

# 11
DFT (PBE-GGA) results for PmCd9Rh3 after structural relaxation.

It has space group C2/m (No. 12), with a = 5.7728 Å, b = 13.4335 Å, c = 7.4413 Å, α = 90.00°, β = 112.45° and γ = 90.00°. Symmetry generates all atoms from Pm at (0.0000, 0.0000, 0.0000), Cd at (0.0000, 0.5000, 0.5000), Cd at (0.1109, 0.3893, 0.2136), Cd at (0.1495, 0.1733, 0.3287), Rh at (0.0000, 0.0000, 0.5000) and Rh at (0.2500, 0.2500, 0.0000).

The crystal system is monoclinic. The total energy comes out at -75.18 eV/cell. For the magnetic moment, the calculation gives 0.00 μB/cell. Its formation enthalpy at 0 K is -2.55 eV per formula unit. The density of states at the Fermi level comes out at 15.60 states/eV/cell.

---

# 12
DFT (PBE-GGA) results for LaTcPd3 after structural relaxation.

It has space group Pm-3m (No. 221), with a = 5.0016 Å, b = 5.0016 Å, c = 5.0016 Å, α = 90.00°, β = 90.00° and γ = 90.00°. Symmetry generates all atoms from La at (0.0000, 0.0000, 0.0000), Tc at (0.5000, 0.5000, 0.5000) and Pd at (0.0000, 0.0000, 0.5000).

The crystal system is cubic. The total energy comes out at -23.74 eV/cell. For the magnetic moment, the calculation gives 0.00 μB/cell. Its formation enthalpy at 0 K is 7.13 eV per formula unit. As for the relative energy among the computed polymorphs: 1.167 eV/atom. The density of states at the Fermi level comes out at 11.21 states/eV/cell.

---

# 13
DFT (PBE-GGA) results for Ge2ClF after structural relaxation.

It has space group Fm-3m (No. 225), with a = 6.6265 Å, b = 6.6265 Å, c = 6.6265 Å, α = 90.00°, β = 90.00° and γ = 90.00°. Symmetry generates all atoms from Ge at (0.2500, 0.2500, 0.2500), Cl at (0.0000, 0.0000, 0.0000) and F at (0.0000, 0.0000, 0.5000).

The crystal system is cubic. The total energy comes out at -55.29 eV/cell. For the magnetic moment, the calculation gives 0.00 μB/cell. As for the relative energy among the computed polymorphs: 0.379 eV/atom. The density of states at the Fermi level comes out at 14.96 states/eV/cell. The calculation puts the formation energy without anion corrections at -0.87 eV/f.u.

---

# 14
DFT (PBE-GGA) results for ZrNb2VC4 after structural relaxation.

It has space group R3m (No. 160, hexagonal axes), with a = 3.1770 Å, b = 3.1770 Å, c = 30.8840 Å, α = 90.00°, β = 90.00° and γ = 120.00°. Symmetry generates all atoms from Zr at (0.0000, 0.0000, 0.0000), Nb at (0.0000, 0.0000, 0.2456), Nb at (0.0000, 0.0000, 0.4939), V at (0.0000, 0.0000, 0.7486), C at (0.0000, 0.0000, 0.1191), C at (0.0000, 0.0000, 0.3788), C at (0.0000, 0.0000, 0.6204) and C at (0.0000, 0.0000, 0.8696).

The crystal system is trigonal. The total energy comes out at -235.96 eV/cell. For the magnetic moment, the calculation gives 0.00 μB/cell. Its formation enthalpy at 0 K is -3.95 eV per formula unit. As for the relative energy among the computed polymorphs: 0.000 eV/atom. The density of states at the Fermi level comes out at 14.42 states/eV/cell.